one | First-principles (PBE-GGA) data for a geometry-optimized CuBi3Br structure, as listed in Alexandria.

Summary:
The calculation puts the magnetization at 0.0 Bohr magnetons per cell.

Cell and atoms, written as POSCAR:
```
CuBi3Br
1.0
5.6808 0.0000 0.0000
0.0000 5.6808 0.0000
0.0000 0.0000 5.6808
Cu Bi Br
1 3 1
direct
0.0000 0.0000 0.0000 Cu
0.0000 0.5000 0.5000 Bi
0.5000 0.0000 0.5000 Bi
0.5000 0.5000 0.0000 Bi
0.5000 0.5000 0.5000 Br
```

two | First-principles (PBE-GGA) data for a geometry-optimized CuBi3Br structure, as listed in Alexandria.

Summary:
The calculation puts the magnetization at 0.0 Bohr magnetons per cell.

Cell and atoms, written as POSCAR:
```
CuBi3Br
1.0
5.3353 0.0000 0.0000
0.0000 5.3353 0.0000
0.0000 0.0000 5.3353
Cu Bi Br
1 3 1
direct
0.0000 0.0000 0.0000 Cu
0.0000 0.0000 0.5000 Bi
0.0000 0.5000 0.0000 Bi
0.5000 0.0000 0.0000 Bi
0.5000 0.5000 0.5000 Br
```

Most stable: two. Least stable: one.

one | First-principles (PBE-GGA) data for a geometry-optimized CuBiSe2Br structure, as listed in Alexandria.

Summary:
The calculation puts the magnetization at 0.0 Bohr magnetons per cell.

Cell and atoms, written as POSCAR:
```
CuBiSe2Br
1.0
4.9516 0.0000 0.0000
0.0000 4.9516 0.0000
0.0000 0.0000 4.7839
Cu Bi Se Br
1 1 2 1
direct
0.0000 0.0000 0.0000 Cu
0.5000 0.5000 0.5000 Bi
0.0000 0.5000 0.0000 Se
0.5000 0.0000 0.0000 Se
0.0000 0.0000 0.5000 Br
```

two | First-principles (PBE-GGA) data for a geometry-optimized CuBiSe2Br structure, as listed in Alexandria.

Summary:
The calculation puts the magnetization at 0.0 Bohr magnetons per cell.

Cell and atoms, written as POSCAR:
```
CuBiSe2Br
1.0
7.0683 0.0000 0.0000
0.0000 4.4215 0.0000
-3.4265 0.0000 10.0078
Cu Bi Se Br
2 2 4 2
direct
0.1391 0.2500 0.1476 Cu
0.8609 0.7500 0.8524 Cu
0.1697 0.2500 0.6845 Bi
0.8303 0.7500 0.3155 Bi
0.0015 0.2500 0.8952 Se
0.1090 0.2500 0.3773 Se
0.8910 0.7500 0.6227 Se
0.9985 0.7500 0.1048 Se
0.4758 0.7500 0.8081 Br
0.5242 0.2500 0.1919 Br
```

Most stable: two. Least stable: one.